1.
Density functional theory data (GGA-PBE) for crystalline TiP3Ru at its relaxed geometry.

Cell lengths 4.5954, 4.5954, 4.5954 Å; angles 90.00, 90.00, 90.00 degrees
Sites, in units of the cell vectors:
Ti: 0.0000 0.0000 0.0000
P: 0.0000 0.0000 0.5000
P: 0.0000 0.5000 0.0000
P: 0.5000 0.0000 0.0000
Ru: 0.5000 0.5000 0.5000

## Properties
Excess energy over the best structure of this formula in the dataset in meV/atom: 179.2
V in Å³ per cell: 97.0
Energy of formation in eV/atom: 0.82
Total energy in eV/atom: -5.86
DOS at the Fermi energy in states/eV/f.u.: 3.8

---

2.
Density functional theory data (GGA-PBE) for crystalline SnPd2F at its relaxed geometry.

Cell lengths 4.4687, 4.4687, 4.4687 Å; angles 60.00, 60.00, 60.00 degrees
Sites, in units of the cell vectors:
Sn: 0.0000 0.0000 0.0000
Pd: 0.2500 0.2500 0.2500
Pd: 0.7500 0.7500 0.7500
F: 0.5000 0.5000 0.5000

## Properties
Excess energy over the best structure of this formula in the dataset in meV/atom: 0.0
V in Å³ per cell: 63.1
Total energy in eV/atom: -4.75
Raw formation energy in eV/atom: -0.69
DOS at the Fermi energy in states/eV/f.u.: 1.0

---

3.
Density functional theory data (GGA-PBE) for crystalline CsSnB2H8 at its relaxed geometry.

Cell lengths 6.4835, 6.4835, 6.4835 Å; angles 54.13, 54.13, 54.13 degrees
Sites, in units of the cell vectors:
Cs: 0.0000 0.0000 0.0000
Sn: 0.5000 0.5000 0.5000
B: 0.2258 0.2258 0.2258
B: 0.7742 0.7742 0.7742
H: 0.0241 0.7231 0.6563
H: 0.2769 0.3437 0.9759
H: 0.2997 0.2997 0.2997
H: 0.3437 0.9759 0.2769
H: 0.6563 0.0241 0.7231
H: 0.7003 0.7003 0.7003
H: 0.7231 0.6563 0.0241
H: 0.9759 0.2769 0.3437

## Properties
V in Å³ per cell: 166.3
Total energy in eV/atom: -3.84